LaCuRh2: relaxed, PBE.

Results
- Energy of formation from the pure elements: -0.118 eV/atom
- DOS at the Fermi energy: 7.88 states/eV per cell
- Final energy: -6.05 eV/atom
- Total magnetic moment: 0.000 μB/cell

abc: 4.2471 4.2471 17.5638
angles: 90.00 90.00 90.00
Last column: nearest neighbours and their distance in Å.
Space group I-42d (No. 122)
Symmetry-distinct sites (fractional):
La1 0.0000 0.0000 0.0000  4 Rh 2.79, 4 Cu 3.00
Cu1 0.0000 0.0000 0.5000  4 Rh 2.56
Rh1 0.1818 0.2500 0.6250  2 Cu 2.56, 2 Rh 2.63, 2 La 2.79